HfVP2O: optimized geometry, PBE+U.

Cell lengths 5.073, 5.073, 3.928 Å; angles 90.00, 90.00, 90.00 degrees
Last column: magnetic moment on the atom in μB.
Sites, in units of the cell vectors:
P (0.500, 0.000, 0.000)  -0.19
P (0.000, 0.500, 0.000)  -0.19
O (0.000, 0.000, 0.500)  -0.10
Hf (0.000, 0.000, 0.000)  -0.02
V (0.500, 0.500, 0.500)  2.70



HfVPO2: optimized geometry, PBE+U.

Cell lengths 3.762, 3.762, 5.012 Å; angles 90.00, 90.00, 90.00 degrees
Last column: magnetic moment on the atom in μB.
Sites, in units of the cell vectors:
Hf (0.500, 0.500, 0.500)  0.09
P (0.000, 0.000, 0.500)  -0.02
V (0.000, 0.000, 0.000)  1.44
O (0.000, 0.500, 0.000)  -0.05
O (0.500, 0.000, 0.000)  -0.05



HfVPO2: optimized geometry, PBE+U.

Cell lengths 3.986, 3.986, 5.425 Å; angles 90.00, 90.00, 90.00 degrees
Last column: magnetic moment on the atom in μB.
Sites, in units of the cell vectors:
O (0.000, 0.500, 0.000)  -0.10
V (0.500, 0.500, 0.500)  2.65
Hf (0.000, 0.000, 0.000)  0.02
P (0.000, 0.000, 0.500)  -0.16
O (0.500, 0.000, 0.000)  -0.10



HfVP2O: optimized geometry, PBE+U.

Cell lengths 4.728, 4.728, 3.557 Å; angles 90.00, 90.00, 90.00 degrees
Sites, in units of the cell vectors:
P (0.000, 0.500, 0.000)
P (0.500, 0.000, 0.000)
Hf (0.500, 0.500, 0.500)
V (0.000, 0.000, 0.000)
O (0.000, 0.000, 0.500)



Energy above the lowest structure with this stoichiometry (computed, meV/atom): 82, 222, 0, 0